This record from Alexandria describes crystalline RbLiInO2 at its relaxed geometry. The functional is GGA-PBE.

Lattice parameters (Å, degrees): 7.2255 7.2255 5.1926 90.00 90.00 128.27
Closest atoms and distances in Å follow each position.
Element x y z (fractional)
1 Rb 0.2500 0.7500 0.7554  4 O 3.24-3.48, 2 Li 3.49
2 Rb 0.7500 0.2500 0.2446  4 O 3.24-3.48, 2 Li 3.49
3 Li 0.0000 0.0000 0.0000  2 O 1.86
4 Li 0.5000 0.5000 0.0000  2 O 1.86
5 In 0.2500 0.2500 0.5000  4 O 2.23
6 In 0.7500 0.7500 0.5000  4 O 2.23
7 O 0.0858 0.9142 0.2856  1 Li 1.86
8 O 0.4142 0.5858 0.2856  1 Li 1.86
9 O 0.5858 0.4142 0.7144  1 Li 1.86
10 O 0.9142 0.0858 0.7144  1 Li 1.86

## Properties
Symmetry: Cmme (67)
Total moment, μB/f.u.: 0.00
ΔE_f (raw), eV/f.u.: -5.96


This record from Alexandria describes crystalline La2Ni12P3Ir at its relaxed geometry. The functional is GGA-PBE.

Lattice parameters (Å, degrees): 7.2762 7.2762 7.2762 63.20 63.20 63.20
Closest atoms and distances in Å follow each position.
Element x y z (fractional)
1 La 0.1157 0.1157 0.1157  6 Ni 2.75-2.89
2 La 0.8843 0.8843 0.8843  6 Ni 2.75-2.89
3 Ni 0.1198 0.6228 0.6228  1 P 2.12, 1 Ir 2.35
4 Ni 0.1581 0.1581 0.5993  2 P 2.14
5 Ni 0.1581 0.5993 0.1581  2 P 2.14
6 Ni 0.3772 0.3772 0.8802  1 P 2.12, 1 Ir 2.35
7 Ni 0.3772 0.8802 0.3772  1 P 2.12, 1 Ir 2.35
8 Ni 0.4007 0.8419 0.8419  2 P 2.14
9 Ni 0.5993 0.1581 0.1581  2 P 2.14
10 Ni 0.6227 0.1198 0.6227  1 P 2.12, 1 Ir 2.35
11 Ni 0.6227 0.6228 0.1198  1 P 2.12, 1 Ir 2.35
12 Ni 0.8419 0.4007 0.8419  2 P 2.14
13 Ni 0.8419 0.8419 0.4007  2 P 2.14
14 Ni 0.8802 0.3773 0.3772  1 P 2.12, 1 Ir 2.35
15 P 0.0000 0.5000 0.5000  6 Ni 2.12-2.14
16 P 0.5000 0.0000 0.5000  6 Ni 2.12-2.14
17 P 0.5000 0.5000 0.0000  6 Ni 2.12-2.14
18 Ir 0.5000 0.5000 0.5000  6 Ni 2.35

## Properties
Symmetry: R-3m (166)
Formation energy from the elements, meV per atom: -5
Total moment, μB/f.u.: 0.00


This record from Alexandria describes crystalline PmSm2In2 at its relaxed geometry. The functional is GGA-PBE.

Lattice parameters (Å, degrees): 4.4897 5.0057 13.1554 90.00 99.80 90.00
Closest atoms and distances in Å follow each position.
Element x y z (fractional)
1 Pm 0.1431 0.2500 0.2873  6 In 3.36-3.38, 4 Sm 3.50-3.52
2 Pm 0.8569 0.7500 0.7127  6 In 3.36-3.38, 4 Sm 3.50-3.52
3 Sm 0.0485 0.7500 0.0984  8 In 3.34-3.44, 2 Pm 3.50, 2 Sm 3.57
4 Sm 0.2385 0.7500 0.4786  2 In 3.23-3.24, 4 Sm 3.40-3.41, 2 Pm 3.52
5 Sm 0.7615 0.2500 0.5214  2 In 3.23-3.24, 4 Sm 3.40-3.41, 2 Pm 3.52
6 Sm 0.9515 0.2500 0.9016  8 In 3.34-3.44, 2 Pm 3.50, 2 Sm 3.57
7 In 0.3517 0.2500 0.7010  4 Sm 3.23-3.44, 4 Pm 3.36-3.37
8 In 0.4535 0.7500 0.9077  6 Sm 3.34-3.37, 2 Pm 3.38, 4 In 3.46-3.67
9 In 0.5465 0.2500 0.0923  6 Sm 3.34-3.37, 2 Pm 3.38, 4 In 3.46-3.67
10 In 0.6483 0.7500 0.2990  4 Sm 3.23-3.44, 4 Pm 3.36-3.37

## Properties
Symmetry: P2_1/m (11)
Formation energy from the elements, meV per atom: -387
Total moment, μB/f.u.: 0.00
Energy above the most stable polymorph in this dataset, meV/atom: 0


This record from Alexandria describes crystalline HgSb2W at its relaxed geometry. The functional is GGA-PBE.

Lattice parameters (Å, degrees): 3.1354 4.9749 13.0296 90.00 90.00 90.00
Closest atoms and distances in Å follow each position.
Element x y z (fractional)
1 Hg 0.0000 0.0000 0.0000  4 W 2.94, 2 Hg 3.14
2 Hg 0.5000 0.5000 0.5000  4 W 2.94, 2 Hg 3.14
3 Sb 0.0000 0.5000 0.1737  2 W 2.75
4 Sb 0.0000 0.5000 0.8263  2 W 2.75
5 Sb 0.5000 0.0000 0.3263  2 W 2.75
6 Sb 0.5000 0.0000 0.6737  2 W 2.75
7 W 0.0000 0.0000 0.5000  4 Sb 2.75, 4 Hg 2.94
8 W 0.5000 0.5000 0.0000  4 Sb 2.75, 4 Hg 2.94

## Properties
Symmetry: Immm (71)
Total moment, μB/f.u.: 0.01
ΔE_f (raw), eV/f.u.: 1.94


This record from Alexandria describes crystalline Ba2PaSb2O2 at its relaxed geometry. The functional is GGA-PBE.

Lattice parameters (Å, degrees): 13.0544 4.6833 7.3695 90.00 118.08 90.00
Closest atoms and distances in Å follow each position.
Element x y z (fractional)
1 Ba 0.2051 0.0000 0.2357  3 O 2.80-2.84
2 Ba 0.2949 0.5000 0.7643  3 O 2.80-2.84
3 Ba 0.7051 0.5000 0.2357  3 O 2.80-2.84
4 Ba 0.7949 0.0000 0.7643  3 O 2.80-2.84
5 Pa 0.0000 0.0000 0.5000  2 O 1.99
6 Pa 0.5000 0.5000 0.5000  2 O 1.99
7 Sb 0.0292 0.5000 0.8151  1 Sb 3.16, 2 Pa 3.19
8 Sb 0.4708 0.0000 0.1849  1 Sb 3.16, 2 Pa 3.19
9 Sb 0.5292 0.0000 0.8151  1 Sb 3.16, 2 Pa 3.19
10 Sb 0.9708 0.5000 0.1849  1 Sb 3.16, 2 Pa 3.19
11 O 0.1696 0.0000 0.5873  1 Pa 1.99
12 O 0.3304 0.5000 0.4127  1 Pa 1.99
13 O 0.6696 0.5000 0.5873  1 Pa 1.99
14 O 0.8304 0.0000 0.4127  1 Pa 1.99

## Properties
Symmetry: C2/m (12)
Total moment, μB/f.u.: 0.00
ΔE_f (raw), eV/f.u.: -14.49


This record from Alexandria describes crystalline BaNaPbN2 at its relaxed geometry. The functional is GGA-PBE.

Lattice parameters (Å, degrees): 4.6888 4.6888 6.1974 90.00 90.00 90.00
Closest atoms and distances in Å follow each position.
Element x y z (fractional)
1 Ba 0.0000 0.0000 0.0000  2 Pb 3.10, 4 Na 3.32
2 Na 0.5000 0.5000 0.0000  4 Ba 3.32
3 Pb 0.0000 0.0000 0.5000  4 N 2.34
4 N 0.0000 0.5000 0.5000  2 Pb 2.34
5 N 0.5000 0.0000 0.5000  2 Pb 2.34

## Properties
Symmetry: P4/mmm (123)
Total moment, μB/f.u.: 0.00
ΔE_f (raw), eV/f.u.: 7.53


This record from Alexandria describes crystalline TbYAgRh at its relaxed geometry. The functional is GGA-PBE.

Lattice parameters (Å, degrees): 7.0779 7.0779 7.0779 90.00 90.00 90.00
Closest atoms and distances in Å follow each position.
Element x y z (fractional)
1 Tb 0.0000 0.0000 0.0000  4 Ag 3.06, 4 Rh 3.06
2 Tb 0.0000 0.5000 0.5000  4 Ag 3.06, 4 Rh 3.06
3 Tb 0.5000 0.0000 0.5000  4 Ag 3.06, 4 Rh 3.06
4 Tb 0.5000 0.5000 0.0000  4 Ag 3.06, 4 Rh 3.06
5 Y 0.0000 0.0000 0.5000  4 Rh 3.06, 4 Ag 3.06
6 Y 0.0000 0.5000 0.0000  4 Rh 3.06, 4 Ag 3.06
7 Y 0.5000 0.0000 0.0000  4 Rh 3.06, 4 Ag 3.06
8 Y 0.5000 0.5000 0.5000  4 Rh 3.06, 4 Ag 3.06
9 Ag 0.2500 0.2500 0.2500  4 Y 3.06, 4 Tb 3.06
10 Ag 0.2500 0.7500 0.7500  4 Y 3.06, 4 Tb 3.06
11 Ag 0.7500 0.2500 0.7500  4 Y 3.06, 4 Tb 3.06
12 Ag 0.7500 0.7500 0.2500  4 Y 3.06, 4 Tb 3.06
13 Rh 0.2500 0.2500 0.7500  4 Tb 3.06, 4 Y 3.06
14 Rh 0.2500 0.7500 0.2500  4 Tb 3.06, 4 Y 3.06
15 Rh 0.7500 0.2500 0.2500  4 Tb 3.06, 4 Y 3.06
16 Rh 0.7500 0.7500 0.7500  4 Tb 3.06, 4 Y 3.06

## Properties
Symmetry: F-43m (216)
Formation energy from the elements, meV per atom: -561
Total moment, μB/f.u.: 0.00


This record from Alexandria describes crystalline Pa2Zn4Au3 at its relaxed geometry. The functional is GGA-PBE.

Lattice parameters (Å, degrees): 8.1041 8.1041 7.6383 90.00 90.00 135.76
Closest atoms and distances in Å follow each position.
Element x y z (fractional)
1 Pa 0.1124 0.8876 0.9183  8 Zn 3.09-3.29, 4 Au 3.11-3.43
2 Pa 0.3876 0.6124 0.4183  8 Zn 3.09-3.29, 4 Au 3.11-3.43
3 Pa 0.6124 0.3876 0.5817  8 Zn 3.09-3.29, 4 Au 3.11-3.43
4 Pa 0.8876 0.1124 0.0817  8 Zn 3.09-3.29, 4 Au 3.11-3.43
5 Zn 0.1750 0.8250 0.5225  5 Au 2.63-2.73
6 Zn 0.1980 0.3020 0.7500  3 Au 2.57-2.65
7 Zn 0.3020 0.1980 0.2500  3 Au 2.57-2.65
8 Zn 0.3250 0.6750 0.0225  5 Au 2.63-2.73
9 Zn 0.6750 0.3250 0.9775  5 Au 2.63-2.73
10 Zn 0.6980 0.8020 0.7500  3 Au 2.57-2.65
11 Zn 0.8020 0.6980 0.2500  3 Au 2.57-2.65
12 Zn 0.8250 0.1750 0.4775  5 Au 2.63-2.73
13 Au 0.0000 0.0000 0.5000  6 Zn 2.57-2.63
14 Au 0.0213 0.4787 0.7500  5 Zn 2.65-2.73
15 Au 0.4787 0.0213 0.2500  5 Zn 2.65-2.73
16 Au 0.5000 0.5000 0.0000  6 Zn 2.57-2.63
17 Au 0.5213 0.9787 0.7500  5 Zn 2.65-2.73
18 Au 0.9787 0.5213 0.2500  5 Zn 2.65-2.73

## Properties
Symmetry: Cmce (64)
Formation energy from the elements, meV per atom: -175
Total moment, μB/f.u.: 2.57